one | This record from Alexandria describes MgAs2Os at its PBEsol-relaxed geometry. The functional is SCAN.

crystal system: monoclinic
V: 18.40 Å³ per atom
ρ: 8.2 Mg/m³
magnetization: 0.0 μB per formula unit
SG: No. 8

Cell: 8.5176 3.0118 6.2027 Å, 90.00 112.30 90.00°
Last column: nearest neighbours and their distance in Å.
Element x y z (fractional)
Mg (0.0000, 0.0000, 0.0000)  3 As 2.66-2.79, 2 Os 2.89
Mg (0.5000, 0.5000, 0.0000)  3 As 2.66-2.79, 2 Os 2.89
As (0.1247, 0.5000, 0.6162)  3 Os 2.39-2.43
As (0.2911, 0.5000, 0.2288)  2 Os 2.55, 3 Mg 2.66-2.79
As (0.6247, 0.0000, 0.6162)  3 Os 2.39-2.43
As (0.7911, 0.0000, 0.2288)  2 Os 2.55, 3 Mg 2.66-2.79
Os (0.3302, 0.0000, 0.5775)  5 As 2.39-2.55
Os (0.8302, 0.5000, 0.5775)  5 As 2.39-2.55


two | This record from Alexandria describes MgAs2Os at its PBEsol-relaxed geometry. The functional is SCAN.

crystal system: tetragonal
V: 15.83 Å³ per atom
ρ: 9.6 Mg/m³
magnetization: 0.0 μB per formula unit
SG: No. 123

Cell: 4.4757 4.4757 3.1606 Å, 90.00 90.00 90.00°
Last column: nearest neighbours and their distance in Å.
Element x y z (fractional)
Mg (0.0000, 0.0000, 0.0000)  8 As 2.74
As (0.0000, 0.5000, 0.5000)  4 Os 2.74, 4 Mg 2.74
As (0.5000, 0.0000, 0.5000)  4 Os 2.74, 4 Mg 2.74
Os (0.5000, 0.5000, 0.0000)  8 As 2.74


Which is more stable than every other structure shown? one is more stable than every other one.